{
  "formula": "Gd3Ta5H12",
  "functional": "PBE",
  "state": "relaxed",
  "cell": [[-5.9397, 5.9397, 5.9397], [5.9397, -5.9397, 5.9397], [5.9397, 5.9397, -5.9397]],
  "species": ["Gd", "Gd", "Gd", "Gd", "Gd", "Gd", "Gd", "Gd", "Gd", "Gd", "Gd", "Gd", "Ta", "Ta", "Ta", "Ta", "Ta", "Ta", "Ta", "Ta", "Ta", "Ta", "Ta", "Ta", "Ta", "Ta", "Ta", "Ta", "Ta", "Ta", "Ta", "Ta", "H", "H", "H", "H", "H", "H", "H", "H", "H", "H", "H", "H", "H", "H", "H", "H", "H", "H", "H", "H", "H", "H", "H", "H", "H", "H", "H", "H", "H", "H", "H", "H", "H", "H", "H", "H", "H", "H", "H", "H", "H", "H", "H", "H", "H", "H", "H", "H"],
  "frac_coords": [[0.1250, 0.2500, 0.3750], [0.1250, 0.3750, 0.7500], [0.2500, 0.3750, 0.1250], [0.2500, 0.8750, 0.6250], [0.3750, 0.1250, 0.2500], [0.3750, 0.7500, 0.1250], [0.6250, 0.2500, 0.8750], [0.6250, 0.8750, 0.7500], [0.7500, 0.1250, 0.3750], [0.7500, 0.6250, 0.8750], [0.8750, 0.6250, 0.2500], [0.8750, 0.7500, 0.6250], [0.0000, 0.0000, 0.0000], [0.0000, 0.0000, 0.5000], [0.0000, 0.5000, 0.0000], [0.0000, 0.5000, 0.5000], [0.1250, 0.7500, 0.8750], [0.1250, 0.8750, 0.2500], [0.2500, 0.1250, 0.8750], [0.2500, 0.6250, 0.3750], [0.3750, 0.2500, 0.6250], [0.3750, 0.6250, 0.7500], [0.5000, 0.0000, 0.0000], [0.5000, 0.0000, 0.5000], [0.5000, 0.5000, 0.0000], [0.5000, 0.5000, 0.5000], [0.6250, 0.3750, 0.2500], [0.6250, 0.7500, 0.3750], [0.7500, 0.3750, 0.6250], [0.7500, 0.8750, 0.1250], [0.8750, 0.1250, 0.7500], [0.8750, 0.2500, 0.1250], [0.0474, 0.2118, 0.1315], [0.0474, 0.3356, 0.9159], [0.0803, 0.7118, 0.6644], [0.0803, 0.8685, 0.4159], [0.0841, 0.6315, 0.4197], [0.0841, 0.9526, 0.6644], [0.1315, 0.0474, 0.2118], [0.1315, 0.5841, 0.9197], [0.1644, 0.2118, 0.5803], [0.1644, 0.4526, 0.5841], [0.2118, 0.1315, 0.0474], [0.2118, 0.5803, 0.1644], [0.2882, 0.3356, 0.9197], [0.2882, 0.4526, 0.3685], [0.3356, 0.9159, 0.0474], [0.3356, 0.9197, 0.2882], [0.3685, 0.2882, 0.4526], [0.3685, 0.5803, 0.9159], [0.4159, 0.0803, 0.8685], [0.4159, 0.8356, 0.5474], [0.4197, 0.0841, 0.6315], [0.4197, 0.8356, 0.7882], [0.4526, 0.3685, 0.2882], [0.4526, 0.5841, 0.1644], [0.5474, 0.4159, 0.8356], [0.5474, 0.6315, 0.7118], [0.5803, 0.1644, 0.2118], [0.5803, 0.9159, 0.3685], [0.5841, 0.1644, 0.4526], [0.5841, 0.9197, 0.1315], [0.6315, 0.4197, 0.0841], [0.6315, 0.7118, 0.5474], [0.6644, 0.0803, 0.7118], [0.6644, 0.0841, 0.9526], [0.7118, 0.5474, 0.6315], [0.7118, 0.6644, 0.0803], [0.7882, 0.4197, 0.8356], [0.7882, 0.8685, 0.9526], [0.8356, 0.5474, 0.4159], [0.8356, 0.7882, 0.4197], [0.8685, 0.4159, 0.0803], [0.8685, 0.9526, 0.7882], [0.9159, 0.0474, 0.3356], [0.9159, 0.3685, 0.5803], [0.9197, 0.1315, 0.5841], [0.9197, 0.2882, 0.3356], [0.9526, 0.6644, 0.0841], [0.9526, 0.7882, 0.8685]],
  "total_energy_ev_per_atom": -7.30,
  "crystal_system": "cubic",
  "dos_at_fermi_per_ev_cell": 36.75,
  "vol_a3_per_atom": 10.478
}

***

{
  "formula": "TbGd2H",
  "functional": "PBE",
  "state": "relaxed",
  "cell": [[3.3505, 0.0000, 0.0000], [0.0000, 3.3505, 0.0000], [0.0000, 0.0000, 8.5867]],
  "species": ["Tb", "Gd", "Gd", "H"],
  "frac_coords": [[0.0000, 0.0000, 0.0000], [0.5000, 0.5000, 0.3132], [0.5000, 0.5000, 0.6868], [0.0000, 0.0000, 0.5000]],
  "crystal_system": "tetragonal",
  "dos_at_fermi_per_ev_cell": 4.33,
  "polymorph_energy_mev_per_atom": 256,
  "vol_a3_per_atom": 24.098
}

***

Question: Number 1 is which compound?
Answer: Gd3Ta5H12